The following is a DFT calculation (PBE) of a relaxed structure of PmZn3.

a b c (Å): 6.4488 6.4488 4.4250
angles (deg): 90.00 90.00 120.00
With the nearest neighbours (Å) after each atom.
Space group P6_3/mmc (No. 194)
One atom of each set of equivalent atoms:
Pm: 0.3333 0.6667 0.2500 x2  12 Zn 3.05-3.23
Zn: 0.1450 0.2900 0.7500 x6  6 Zn 2.74-2.80, 2 Pm 3.05

Energy of formation   -310 meV per atom
Magnetic moment   0.000 μB/cell
Density   7.1 g/cm3
Crystal system   hexagonal

The following is a DFT calculation (PBE) of a relaxed structure of Pm4Zn.

a b c (Å): 5.6139 5.6139 5.6139
angles (deg): 90.00 90.00 90.00
With the nearest neighbours (Å) after each atom.
Space group Pm-3m (No. 221)
One atom of each set of equivalent atoms:
Pm: 0.0000 0.0000 0.0000 x1  12 Pm 3.97
Pm: 0.0000 0.5000 0.5000 x3  2 Zn 2.81
Zn: 0.5000 0.5000 0.5000 x1  6 Pm 2.81

Energy of formation   191 meV per atom
Magnetic moment   0.000 μB/cell
Relative energy among the computed polymorphs   0.310 eV per atom
Density   6.1 g/cm3
Crystal system   cubic

The following is a DFT calculation (PBE) of a relaxed structure of Pm4Zn.

a b c (Å): 3.6659 3.6659 22.7311
angles (deg): 90.00 90.00 90.00
With the nearest neighbours (Å) after each atom.
Space group I4/mmm (No. 139)
One atom of each set of equivalent atoms:
Pm: 0.0000 0.0000 0.0795 x4  4 Zn 3.16
Pm: 0.0000 0.0000 0.3059 x4  12 Pm 3.63-3.67
Zn: 0.0000 0.0000 0.5000 x2  8 Pm 3.16

Energy of formation   -119 meV per atom
Magnetic moment   0.000 μB/cell
Relative energy among the computed polymorphs   0.000 eV per atom
Density   7.0 g/cm3
Crystal system   tetragonal

The following is a DFT calculation (PBE) of a relaxed structure of Pm5Zn3.

a b c (Å): 3.6786 3.6786 16.0505
angles (deg): 90.00 90.00 90.00
With the nearest neighbours (Å) after each atom.
Space group P4/mmm (No. 123)
One atom of each set of equivalent atoms:
Pm: 0.0000 0.0000 0.0000 x1  8 Zn 3.17
Pm: 0.0000 0.0000 0.2230 x2  4 Zn 3.14
Pm: 0.5000 0.5000 0.3883 x2  4 Zn 3.16
Zn: 0.0000 0.0000 0.5000 x1  8 Pm 3.16
Zn: 0.5000 0.5000 0.1130 x2  8 Pm 3.14-3.17

Energy of formation   -231 meV per atom
Magnetic moment   0.000 μB/cell
Density   7.0 g/cm3
Crystal system   tetragonal